12
Lattice="-0.532 -1.985 -1.910 -0.106 -1.930 2.034 -14.315 2.382 1.514" Properties=species:S:1:pos:R:3 comment="LiNiO, relaxed, DFT GGA+U" magmom_total_mub_per_cell=5.989 energy_ev_per_atom=-3.982 pbc="T T T"
O -8.487 0.439 1.909
O -13.092 1.205 2.396
O -6.147 -0.014 -0.333
O -1.543 -0.780 -0.820
Li -0.750 -0.849 1.091
Li -13.884 1.274 0.485
Li -8.121 0.315 -0.124
Li -6.513 0.110 1.701
Ni -11.962 -0.020 1.293
Ni -2.991 -1.513 0.345
Ni -4.486 0.746 0.474
Ni -9.830 1.636 1.040